Entry 1:
TbHoZn6, optimized geometry, DFT PBE-GGA; ρ = 7.9 Mg/m³; N(E_F) = 0.395 states/eV/atom; formation enthalpy at 0 K = -0.314 eV per atom
1.0
4.402 0.000 0.000
0.000 3.283 5.192
0.000 -3.283 5.192
Tb Ho Zn
1 1 6
direct
0.000 0.000 0.000 Tb
0.500 0.707 0.707 Ho
0.000 0.062 0.475 Zn
0.000 0.475 0.062 Zn
0.000 0.515 0.515 Zn
0.500 0.194 0.194 Zn
0.500 0.234 0.644 Zn
0.500 0.644 0.234 Zn

=====

Entry 2:
La5Zn2Au, optimized geometry, DFT PBE-GGA; ρ = 7.2 Mg/m³; N(E_F) = 1.293 states/eV/atom; formation enthalpy at 0 K = -0.334 eV per atom
1.0
-3.825 3.825 8.104
3.825 -3.825 8.104
3.825 3.825 -8.104
La Zn Au
10 4 2
direct
0.000 0.000 0.000 La
0.021 0.521 0.843 La
0.178 0.021 0.500 La
0.322 0.822 0.843 La
0.479 0.322 0.500 La
0.500 0.500 0.000 La
0.521 0.678 0.500 La
0.678 0.178 0.157 La
0.822 0.979 0.500 La
0.979 0.479 0.157 La
0.118 0.382 0.500 Zn
0.382 0.882 0.264 Zn
0.618 0.118 0.736 Zn
0.882 0.618 0.500 Zn
0.250 0.250 0.000 Au
0.750 0.750 0.000 Au

=====

Entry 3:
Zr2CrSe, optimized geometry, DFT PBE-GGA; ρ = 7.0 Mg/m³; N(E_F) = 0.773 states/eV/atom; E_form (uncorrected) = -1.08 eV/f.u.
1.0
-1.640 2.119 5.333
1.640 -2.119 5.333
1.640 2.119 -5.333
Zr Cr Se
2 1 1
direct
0.000 0.000 0.000 Zr
0.731 0.231 0.500 Zr
0.238 0.738 0.500 Cr
0.417 0.417 0.000 Se

=====

Entry 4:
MgBeP, optimized geometry, DFT PBE-GGA; ρ = 2.1 Mg/m³; N(E_F) = 0.158 states/eV/atom; formation enthalpy at 0 K = -0.316 eV per atom; energy relative to the lowest polymorph listed for this composition = 30.3 meV per atom
1.0
3.588 0.000 0.000
-1.794 3.107 0.000
0.000 0.000 8.916
Mg Be P
2 2 2
direct
0.000 0.000 0.000 Mg
0.333 0.667 0.718 Mg
0.333 0.667 0.434 Be
0.667 0.333 0.268 Be
0.333 0.667 0.187 P
0.667 0.333 0.518 P

=====

Entry 5:
Na2HgAuF6, optimized geometry, DFT PBE-GGA; ρ = 5.1 Mg/m³; N(E_F) = 0.353 states/eV/atom; energy relative to the lowest polymorph listed for this composition = 201.6 meV per atom; E_form (uncorrected) = -15.77 eV/f.u.
1.0
0.000 4.509 4.509
4.509 0.000 4.509
4.509 4.509 0.000
Na Hg Au F
2 1 1 6
direct
0.250 0.250 0.250 Na
0.750 0.750 0.750 Na
0.000 0.000 0.000 Hg
0.500 0.500 0.500 Au
0.252 0.252 0.748 F
0.252 0.748 0.252 F
0.252 0.748 0.748 F
0.748 0.252 0.252 F
0.748 0.252 0.748 F
0.748 0.748 0.252 F

=====

Entry 6:
AsPW2, optimized geometry, DFT PBE-GGA; ρ = 12.8 Mg/m³; N(E_F) = 0.552 states/eV/atom; formation enthalpy at 0 K = 0.230 eV per atom; energy relative to the lowest polymorph listed for this composition = 334.6 meV per atom
1.0
4.118 -1.519 0.000
4.118 1.519 0.000
-1.226 0.000 4.925
As P W
1 1 2
direct
0.000 0.000 0.000 As
0.500 0.500 0.500 P
0.222 0.222 0.733 W
0.778 0.778 0.267 W

=====

Entry 7:
LiZn2Cd, optimized geometry, DFT PBE-GGA; ρ = 6.3 Mg/m³; N(E_F) = 0.201 states/eV/atom; formation enthalpy at 0 K = -0.079 eV per atom
1.0
2.768 0.000 0.000
0.000 4.494 0.000
-1.124 0.000 5.338
Li Zn Cd
1 2 1
direct
0.000 0.000 0.000 Li
0.231 0.500 0.773 Zn
0.769 0.500 0.227 Zn
0.500 0.000 0.500 Cd

=====

Entry 8:
BaZnP2, optimized geometry, DFT PBE-GGA; ρ = 4.6 Mg/m³; N(E_F) = 0.616 states/eV/atom; formation enthalpy at 0 K = 0.105 eV per atom
1.0
-2.293 2.293 4.504
2.293 -2.293 4.504
2.293 2.293 -4.504
Ba Zn P
1 1 2
direct
0.000 0.000 0.000 Ba
0.500 0.500 0.000 Zn
0.250 0.750 0.500 P
0.750 0.250 0.500 P

=====

Entry 9:
Dy4Cd3In, optimized geometry, DFT PBE-GGA; ρ = 8.7 Mg/m³; N(E_F) = 1.130 states/eV/atom; formation enthalpy at 0 K = -0.363 eV per atom; energy relative to the lowest polymorph listed for this composition = 0.0 meV per atom
1.0
2.649 1.529 8.663
-2.649 1.529 8.663
0.000 -3.059 8.663
Dy Cd In
4 3 1
direct
0.125 0.125 0.125 Dy
0.375 0.375 0.375 Dy
0.625 0.625 0.625 Dy
0.875 0.875 0.875 Dy
0.000 0.000 0.000 Cd
0.251 0.251 0.251 Cd
0.749 0.749 0.749 Cd
0.500 0.500 0.500 In

=====

Entry 10:
Tb2YHo6Er, optimized geometry, DFT PBE-GGA; ρ = 8.2 Mg/m³; N(E_F) = 1.350 states/eV/atom; formation enthalpy at 0 K = 0.116 eV per atom
1.0
4.485 -7.502 0.000
4.485 7.502 0.000
-1.295 0.000 9.435
Tb Y Ho Er
4 2 12 2
direct
0.196 0.304 0.044 Tb
0.304 0.196 0.544 Tb
0.696 0.804 0.456 Tb
0.804 0.696 0.956 Tb
0.022 0.978 0.250 Y
0.978 0.022 0.750 Y
0.020 0.571 0.186 Ho
0.127 0.750 0.556 Ho
0.250 0.873 0.944 Ho
0.289 0.502 0.380 Ho
0.429 0.980 0.314 Ho
0.498 0.711 0.120 Ho
0.502 0.289 0.880 Ho
0.571 0.020 0.686 Ho
0.711 0.498 0.620 Ho
0.750 0.127 0.056 Ho
0.873 0.250 0.444 Ho
0.980 0.429 0.814 Ho
0.409 0.591 0.750 Er
0.591 0.409 0.250 Er

=====

Entry 11:
YHo2ThAs4, optimized geometry, DFT PBE-GGA; ρ = 7.8 Mg/m³; N(E_F) = 0.190 states/eV/atom; formation enthalpy at 0 K = -1.516 eV per atom
1.0
7.175 0.000 0.000
0.000 4.155 0.000
-2.394 0.000 6.767
Y Ho Th As
1 2 1 4
direct
0.000 0.000 0.000 Y
0.500 0.000 0.500 Ho
0.500 0.500 0.000 Ho
0.000 0.500 0.500 Th
0.254 0.500 0.249 As
0.257 0.000 0.756 As
0.743 0.000 0.244 As
0.746 0.500 0.751 As

=====

Entry 12:
Tm3Al2Ag4, optimized geometry, DFT PBE-GGA; ρ = 8.6 Mg/m³; N(E_F) = 0.657 states/eV/atom; formation enthalpy at 0 K = -0.340 eV per atom
1.0
5.341 -2.302 0.000
5.341 2.302 0.000
-3.931 0.000 7.800
Tm Al Ag
3 2 4
direct
0.000 0.000 0.000 Tm
0.347 0.347 0.320 Tm
0.653 0.653 0.680 Tm
0.364 0.364 0.695 Al
0.636 0.636 0.305 Al
0.080 0.080 0.405 Ag
0.286 0.286 0.938 Ag
0.714 0.714 0.062 Ag
0.920 0.920 0.595 Ag

=====

Repeat the seventh record exactly.
LiZn2Cd, optimized geometry, DFT PBE-GGA; ρ = 6.3 Mg/m³; N(E_F) = 0.201 states/eV/atom; formation enthalpy at 0 K = -0.079 eV per atom
1.0
2.768 0.000 0.000
0.000 4.494 0.000
-1.124 0.000 5.338
Li Zn Cd
1 2 1
direct
0.000 0.000 0.000 Li
0.231 0.500 0.773 Zn
0.769 0.500 0.227 Zn
0.500 0.000 0.500 Cd